Entry from Alexandria via LeMat-Bulk: crystalline K2U3CrO12 at its relaxed geometry (GGA+U).

Structure (POSCAR):
```
K2U3CrO12
1.0
7.463 -0.213 -0.151
3.501 6.595 -0.151
3.501 2.038 6.274
K O U Cr
2 12 3 1
Cartesian
9.254 5.387 3.821
5.210 3.033 2.151
5.654 0.341 0.242
8.810 8.078 5.730
9.323 2.606 1.848
11.376 3.671 5.730
3.089 4.748 0.242
11.376 6.622 1.571
3.089 1.798 4.401
7.594 1.599 4.124
6.870 6.820 1.848
7.594 4.421 0.146
6.870 3.999 5.826
5.141 5.814 4.124
3.732 -0.106 -0.075
1.750 1.019 3.137
1.750 3.297 -0.075
0.000 0.000 0.000
```

## Properties
Its space group is No. 166. The total energy comes out at -150.7 eV per cell. As for the total moment: 0.110 μB/atom.

Entry from Alexandria via LeMat-Bulk: crystalline YV2O2 at its relaxed geometry (GGA+U).

Structure (POSCAR):
```
YV2O2
1.0
-5.502 -2.111 -2.748
0.179 -5.323 3.730
-2.132 1.897 2.810
V O Y
4 4 2
Cartesian
-2.832 -0.664 1.154
-1.899 -3.001 3.440
-4.622 -4.873 2.638
-5.555 -2.535 0.352
-0.942 -4.102 2.055
-3.673 -5.756 1.100
-4.380 -3.332 -1.073
-1.650 -1.678 -0.118
-2.661 -3.717 0.491
0.000 0.000 0.000
```

## Properties
Its space group is No. 127. As for the total moment: 1.193 μB/atom. The calculation puts the distance to the lowest polymorph of the same formula at 0.0 meV/atom.